Crystalline LiFeN at its relaxed geometry. Source: the Alexandria database, functional GGA-PBE.

Computed properties:
Uncorrected formation energy (eV/atom): -0.283
Total energy (eV per cell): -19.55

Unit cell a=4.3408 b=2.9594 c=2.9594 alpha=120.00 beta=90.00 gamma=90.00
Positions (direct):
1 Fe 0.1856 0.3333 0.6667
2 Li 0.7407 0.6667 0.3333
3 N 0.0737 0.0000 0.0000